# BaP3Cl, optimized geometry, DFT GGA-PBE
# Uncorrected energy = -2.66 eV per atom
# Mass density = 1.64 g/cm³
# M_tot = 8.0 μB/f.u.
# Energy relative to the elements, uncorrected = 1.343 eV/atom
# Excess energy over the best structure of this formula in the dataset = 4.39 eV/f.u.
data_BaP3Cl
_chemical_formula_sum 'Ba1 P3 Cl1'
_symmetry_space_group_name_H-M 'P 1'
_symmetry_Int_Tables_number 1
_symmetry_space_group_name_Hall 'P 1'
_cell_length_a 6.4496
_cell_length_b 6.4496
_cell_length_c 6.4496
_cell_angle_alpha 90.00
_cell_angle_beta 90.00
_cell_angle_gamma 90.00
loop_
_atom_site_label
_atom_site_fract_x
_atom_site_fract_y
_atom_site_fract_z
_atom_site_occupancy
P1 0.0000 0.5000 0.0000 1
Ba1 0.0000 0.0000 0.0000 1
Cl1 0.5000 0.5000 0.5000 1
P2 0.0000 0.0000 0.5000 1
P3 0.5000 0.0000 0.0000 1


# PrBO4, optimized geometry, DFT GGA-PBE
# Uncorrected energy = -7.41 eV per atom
# Mass density = 5.17 g/cm³
# M_tot = 0.0 μB/f.u.
# Energy relative to the elements, uncorrected = -2.193 eV/atom
data_PrBO4
_chemical_formula_sum 'Pr2 B2 O8'
_symmetry_space_group_name_H-M 'P 1'
_symmetry_Int_Tables_number 1
_symmetry_space_group_name_Hall 'P 1'
_cell_length_a 3.8629
_cell_length_b 5.3691
_cell_length_c 6.9538
_cell_angle_alpha 90.00
_cell_angle_beta 106.13
_cell_angle_gamma 90.00
loop_
_atom_site_label
_atom_site_fract_x
_atom_site_fract_y
_atom_site_fract_z
_atom_site_occupancy
O1 0.4803 0.2990 0.9606 1
B1 0.3742 0.3337 0.7484 1
B2 0.6258 0.8337 0.2516 1
O2 0.6841 0.6213 0.3682 1
O3 0.9640 0.2629 0.9279 1
O4 0.6679 0.0650 0.3358 1
O5 0.3159 0.1213 0.6318 1
Pr1 0.1402 0.3514 0.2803 1
O6 0.5197 0.7990 0.0394 1
O7 0.3321 0.5650 0.6642 1
O8 0.0360 0.7629 0.0721 1
Pr2 0.8598 0.8514 0.7197 1


# Tb3CeTm2S6, optimized geometry, DFT GGA-PBE
# Uncorrected energy = -6.45 eV per atom
# Mass density = 7.48 g/cm³
# M_tot = 0.8 μB/f.u.
# Energy relative to the elements, uncorrected = -1.991 eV/atom
data_Tb3CeTm2S6
_chemical_formula_sum 'Tb3 Ce1 Tm2 S6'
_symmetry_space_group_name_H-M 'P 1'
_symmetry_Int_Tables_number 1
_symmetry_space_group_name_Hall 'P 1'
_cell_length_a 3.9020
_cell_length_b 7.8648
_cell_length_c 8.7451
_cell_angle_alpha 102.80
_cell_angle_beta 102.89
_cell_angle_gamma 90.00
loop_
_atom_site_label
_atom_site_fract_x
_atom_site_fract_y
_atom_site_fract_z
_atom_site_occupancy
S1 0.3305 0.4216 0.6609 1
Tb1 0.5000 0.5000 0.0000 1
S2 0.3295 0.9093 0.6589 1
Tm1 0.8351 0.6712 0.6701 1
Ce1 0.5000 0.0000 0.0000 1
Tb2 0.8365 0.1654 0.6730 1
Tb3 0.1635 0.8346 0.3270 1
S3 0.6705 0.0907 0.3411 1
Tm2 0.1649 0.3288 0.3299 1
S4 0.6695 0.5784 0.3391 1
S5 0.0027 0.2581 0.0054 1
S6 0.9973 0.7419 0.9946 1


# TaPRu2, optimized geometry, DFT GGA-PBE
# Uncorrected energy = -9.14 eV per atom
# Formation energy = -71 kJ/mol of formula units
# Mass density = 11.87 g/cm³
# M_tot = 0.0 μB/f.u.
data_TaPRu2
_chemical_formula_sum 'Ta1 P1 Ru2'
_symmetry_space_group_name_H-M 'P 1'
_symmetry_Int_Tables_number 1
_symmetry_space_group_name_Hall 'P 1'
_cell_length_a 4.0895
_cell_length_b 4.0895
_cell_length_c 3.4628
_cell_angle_alpha 90.00
_cell_angle_beta 90.00
_cell_angle_gamma 90.00
loop_
_atom_site_label
_atom_site_fract_x
_atom_site_fract_y
_atom_site_fract_z
_atom_site_occupancy
Ta1 0.5000 0.5000 0.5000 1
P1 0.0000 0.0000 0.5000 1
Ru1 0.0000 0.5000 0.0000 1
Ru2 0.5000 0.0000 0.0000 1


# NdCu4Si2, optimized geometry, DFT GGA-PBE
# Uncorrected energy = -4.92 eV per atom
# Mass density = 6.86 g/cm³
# M_tot = 0.0 μB/f.u.
# Energy relative to the elements, uncorrected = -0.349 eV/atom
# Excess energy over the best structure of this formula in the dataset = 0.28 eV/f.u.
data_NdCu4Si2
_chemical_formula_sum 'Nd1 Cu4 Si2'
_symmetry_space_group_name_H-M 'P 1'
_symmetry_Int_Tables_number 1
_symmetry_space_group_name_Hall 'P 1'
_cell_length_a 4.0736
_cell_length_b 4.0736
_cell_length_c 8.0139
_cell_angle_alpha 75.28
_cell_angle_beta 75.28
_cell_angle_gamma 60.00
loop_
_atom_site_label
_atom_site_fract_x
_atom_site_fract_y
_atom_site_fract_z
_atom_site_occupancy
Cu1 0.1404 0.1404 0.5788 1
Si1 0.7539 0.7539 0.7382 1
Si2 0.2461 0.2461 0.2618 1
Cu2 0.8596 0.8596 0.4212 1
Cu3 0.4340 0.4340 0.6981 1
Nd1 0.0000 0.0000 0.0000 1
Cu4 0.5660 0.5660 0.3019 1


# CsRbCoCl4, optimized geometry, DFT GGA-PBE
# Uncorrected energy = -3.76 eV per atom
# Mass density = 2.87 g/cm³
# M_tot = 3.0 μB/f.u.
# Energy relative to the elements, uncorrected = -1.427 eV/atom
data_CsRbCoCl4
_chemical_formula_sum 'Cs2 Rb2 Co2 Cl8'
_symmetry_space_group_name_H-M 'P 1'
_symmetry_Int_Tables_number 1
_symmetry_space_group_name_Hall 'P 1'
_cell_length_a 7.1107
_cell_length_b 7.3961
_cell_length_c 9.7862
_cell_angle_alpha 90.00
_cell_angle_beta 109.55
_cell_angle_gamma 90.00
loop_
_atom_site_label
_atom_site_fract_x
_atom_site_fract_y
_atom_site_fract_z
_atom_site_occupancy
Co1 0.2005 0.7500 0.2921 1
Cl1 0.0031 0.0064 0.7629 1
Cl2 0.4088 0.7500 0.1610 1
Co2 0.7995 0.2500 0.7079 1
Cl3 0.0031 0.4936 0.7629 1
Cs1 0.6892 0.7500 0.9146 1
Cl4 0.9969 0.5064 0.2371 1
Rb1 0.7953 0.7500 0.4646 1
Cl5 0.3592 0.7500 0.5351 1
Cl6 0.6408 0.2500 0.4649 1
Cl7 0.5912 0.2500 0.8390 1
Cl8 0.9969 0.9936 0.2371 1
Rb2 0.2047 0.2500 0.5354 1
Cs2 0.3108 0.2500 0.0854 1


# CrPSe2N, optimized geometry, DFT GGA-PBE
# Uncorrected energy = -5.62 eV per atom
# Mass density = 4.98 g/cm³
# M_tot = 1.2 μB/f.u.
# Energy relative to the elements, uncorrected = 0.448 eV/atom
# Excess energy over the best structure of this formula in the dataset = 0.00 eV/f.u.
data_CrPSe2N
_chemical_formula_sum 'Cr1 P1 Se2 N1'
_symmetry_space_group_name_H-M 'P 1'
_symmetry_Int_Tables_number 1
_symmetry_space_group_name_Hall 'P 1'
_cell_length_a 4.9167
_cell_length_b 4.9167
_cell_length_c 3.5162
_cell_angle_alpha 90.00
_cell_angle_beta 90.00
_cell_angle_gamma 90.00
loop_
_atom_site_label
_atom_site_fract_x
_atom_site_fract_y
_atom_site_fract_z
_atom_site_occupancy
N1 0.0000 0.0000 0.5000 1
Se1 0.0000 0.5000 0.0000 1
Cr1 0.0000 0.0000 0.0000 1
P1 0.5000 0.5000 0.5000 1
Se2 0.5000 0.0000 0.0000 1


Among the records above, which one has the highest uncorrected energy? BaP3Cl


Please write out number 3 again, unchanged.
# Tb3CeTm2S6, optimized geometry, DFT GGA-PBE
# Uncorrected energy = -6.45 eV per atom
# Mass density = 7.48 g/cm³
# M_tot = 0.8 μB/f.u.
# Energy relative to the elements, uncorrected = -1.991 eV/atom
data_Tb3CeTm2S6
_chemical_formula_sum 'Tb3 Ce1 Tm2 S6'
_symmetry_space_group_name_H-M 'P 1'
_symmetry_Int_Tables_number 1
_symmetry_space_group_name_Hall 'P 1'
_cell_length_a 3.9020
_cell_length_b 7.8648
_cell_length_c 8.7451
_cell_angle_alpha 102.80
_cell_angle_beta 102.89
_cell_angle_gamma 90.00
loop_
_atom_site_label
_atom_site_fract_x
_atom_site_fract_y
_atom_site_fract_z
_atom_site_occupancy
S1 0.3305 0.4216 0.6609 1
Tb1 0.5000 0.5000 0.0000 1
S2 0.3295 0.9093 0.6589 1
Tm1 0.8351 0.6712 0.6701 1
Ce1 0.5000 0.0000 0.0000 1
Tb2 0.8365 0.1654 0.6730 1
Tb3 0.1635 0.8346 0.3270 1
S3 0.6705 0.0907 0.3411 1
Tm2 0.1649 0.3288 0.3299 1
S4 0.6695 0.5784 0.3391 1
S5 0.0027 0.2581 0.0054 1
S6 0.9973 0.7419 0.9946 1